(1)
Material: Si3OsRu
Method: DFT, PBE
State: optimized geometry

Properties
Symmetry = No. 221
Volume = 19.16 Å³ per atom
Energy relative to the lowest polymorph listed for this composition = 0.000 eV per atom
Formation energy without anion corrections = 1.023 eV per atom
Total moment = 1.7 μB/f.u.

a b c (Å): 4.576 4.576 4.576
angles (deg): 90.00 90.00 90.00
Each line ends with the local moment (μB).
Sites, in units of the cell vectors:
Os 0.000 0.000 0.000  0.03
Si 0.500 0.000 0.000  0.01
Si 0.000 0.000 0.500  0.02
Si 0.000 0.500 0.000  0.00
Ru 0.500 0.500 0.500  1.51

(2)
Material: ZnSiHg
Method: DFT, PBE
State: optimized geometry

Properties
Symmetry = No. 156
Volume = 20.31 Å³ per atom
Formation energy without anion corrections = 0.352 eV per atom
Total moment = 0.0 μB/f.u.

a b c (Å): 4.223 4.223 3.946
angles (deg): 90.00 90.00 120.00
Sites, in units of the cell vectors:
Si 0.667 0.333 0.497
Hg 0.000 0.000 0.000
Zn 0.333 0.667 0.504

(3)
Material: NaSc2TcCl
Method: DFT, PBE
State: optimized geometry

Properties
Symmetry = No. 123
Volume = 21.30 Å³ per atom
Formation energy without anion corrections = 0.296 eV per atom
Total moment = 0.0 μB/f.u.

a b c (Å): 4.834 4.556 4.834
angles (deg): 90.00 90.00 90.00
Sites, in units of the cell vectors:
Sc 0.500 0.000 0.000
Sc 0.000 0.000 0.500
Tc 0.500 0.500 0.500
Na 0.000 0.500 0.000
Cl 0.000 0.000 0.000

(4)
Material: DyEr4TlS8
Method: DFT, PBE
State: optimized geometry

Properties
Symmetry = No. 160
Volume = 27.43 Å³ per atom
Formation energy without anion corrections = -1.813 eV per atom
Total moment = 0.0 μB/f.u.

a b c (Å): 8.140 8.140 8.178
angles (deg): 60.15 60.15 60.00
Sites, in units of the cell vectors:
S 0.235 0.235 0.731
S 0.756 0.756 0.259
S 0.233 0.233 0.302
S 0.235 0.800 0.731
S 0.800 0.235 0.731
S 0.228 0.756 0.259
S 0.756 0.228 0.259
S 0.758 0.758 0.727
Tl 0.374 0.374 0.878
Dy 0.004 0.004 0.987
Er 0.004 0.488 0.504
Er 0.488 0.004 0.504
Er 0.004 0.004 0.504
Er 0.625 0.625 0.124

Total energy, respectively: -6.33; -1.98; -4.94; -5.97 eV/atom.